Here is a relaxed Sr3Ru crystal from Alexandria. Energies are from GGA-PBEsol.

abc: 4.942 4.943 4.943
angles: 90.00 90.00 90.00
Fractional positions:
Sr 0.000 0.500 0.416
Sr 0.500 0.500 0.916
Sr 0.500 0.000 0.416
Ru 0.000 0.000 0.919

Results
The density of states at the Fermi level is 0.394 states/eV/atom. Its formation energy is 2.453 eV/f.u.


Here is a relaxed Sr3Ru crystal from Alexandria. Energies are from GGA-PBEsol.

abc: 3.963 6.634 6.634
angles: 62.35 72.62 72.62
Fractional positions:
Ru 0.000 0.053 0.947
Sr 0.676 0.701 0.947
Sr 0.500 0.360 0.640
Sr 0.324 0.053 0.299

Results
The density of states at the Fermi level is 0.935 states/eV/atom. Its formation energy is 1.568 eV/f.u.


Values of E_tot, in order: -3.310 -3.531, all in eV/atom.